No. 1
Here is a PBEsol-optimized structure of RbWO2F from Alexandria. Energies are from SCAN.

Properties
The value obtained for the total energy is -19.9475 eV/atom. The value obtained for the density is 6.2 g cm⁻³. For the formation energy (no corrections), the calculation gives 30.9 kcal/mol of atoms. The symmetry is No. 123.

Lattice parameters (Å, degrees): 4.3242 4.3242 4.5660 90.00 90.00 90.00
Fractional coordinates of all 5 atoms:
Rb 0.0000 0.0000 0.0000
W 0.5000 0.5000 0.5000
O 0.0000 0.5000 0.0000
O 0.5000 0.0000 0.0000
F 0.0000 0.0000 0.5000

=====

No. 2
Here is a PBEsol-optimized structure of Rb2Zr3OF12 from Alexandria. Energies are from SCAN.

Properties
The value obtained for the total energy is -13.9839 eV/atom. The value obtained for the density is 4.5 g cm⁻³. For the formation energy (no corrections), the calculation gives -88.9 kcal/mol of atoms. The symmetry is No. 166.

Lattice parameters (Å, degrees): 10.8450 10.8450 10.8450 41.66 41.66 41.66
Fractional coordinates of all 36 atoms:
Rb 0.0000 0.0000 0.0000
Rb 0.1376 0.1376 0.1376
Rb 0.5000 0.5000 0.5000
Rb 0.8624 0.8624 0.8624
Zr 0.0294 0.5760 0.5760
Zr 0.4240 0.4240 0.9706
Zr 0.4240 0.9706 0.4240
Zr 0.5760 0.0294 0.5760
Zr 0.5760 0.5760 0.0294
Zr 0.9706 0.4240 0.4240
O 0.2876 0.2876 0.2876
O 0.7124 0.7124 0.7124
F 0.0000 0.3509 0.6491
F 0.0000 0.6491 0.3509
F 0.0826 0.6498 0.6498
F 0.0889 0.0889 0.5980
F 0.0889 0.5980 0.0889
F 0.2937 0.2937 0.6299
F 0.2937 0.6299 0.2937
F 0.3502 0.3502 0.9174
F 0.3502 0.9174 0.3502
F 0.3509 0.0000 0.6491
F 0.3509 0.6491 0.0000
F 0.3701 0.7063 0.7063
F 0.4020 0.9111 0.9111
F 0.5980 0.0889 0.0889
F 0.6299 0.2937 0.2937
F 0.6491 0.0000 0.3509
F 0.6491 0.3509 0.0000
F 0.6498 0.0826 0.6498
F 0.6498 0.6498 0.0826
F 0.7063 0.3701 0.7063
F 0.7063 0.7063 0.3701
F 0.9111 0.4020 0.9111
F 0.9111 0.9111 0.4020
F 0.9174 0.3502 0.3502

=====

No. 3
Here is a PBEsol-optimized structure of RbZrOF2 from Alexandria. Energies are from SCAN.

Properties
The value obtained for the total energy is -16.0449 eV/atom. The value obtained for the density is 4.8 g cm⁻³. For the formation energy (no corrections), the calculation gives -71.4 kcal/mol of atoms. The symmetry is No. 123.

Lattice parameters (Å, degrees): 4.3934 4.3934 4.1144 90.00 90.00 90.00
Fractional coordinates of all 5 atoms:
Rb 0.0000 0.0000 0.0000
Zr 0.5000 0.5000 0.5000
O 0.5000 0.5000 0.0000
F 0.0000 0.5000 0.5000
F 0.5000 0.0000 0.5000

=====

No. 4
Here is a PBEsol-optimized structure of ReO2F3 from Alexandria. Energies are from SCAN.

Properties
The value obtained for the total energy is -17.6751 eV/atom. The value obtained for the density is 4.6 g cm⁻³. The energy above the most stable polymorph in this dataset is 0.0074 eV/atom. For the formation energy (no corrections), the calculation gives -45.6 kcal/mol of atoms. The symmetry is No. 64.

Lattice parameters (Å, degrees): 7.6386 7.6386 13.6355 90.00 90.00 84.78
Fractional coordinates of all 48 atoms:
Re 0.1668 0.8332 0.8232
Re 0.2384 0.2384 0.5000
Re 0.2616 0.2616 0.0000
Re 0.3332 0.6668 0.3232
Re 0.6668 0.3332 0.6768
Re 0.7384 0.7384 0.0000
Re 0.7616 0.7616 0.5000
Re 0.8332 0.1668 0.1768
O 0.0780 0.2102 0.4168
O 0.1147 0.6509 0.7629
O 0.1509 0.6147 0.2629
O 0.2102 0.0780 0.5832
O 0.2898 0.4220 0.0832
O 0.3491 0.8853 0.7629
O 0.3853 0.8491 0.2629
O 0.4220 0.2898 0.9168
O 0.5780 0.7102 0.0832
O 0.6147 0.1509 0.7371
O 0.6509 0.1147 0.2371
O 0.7102 0.5780 0.9168
O 0.7898 0.9220 0.4168
O 0.8491 0.3853 0.7371
O 0.8853 0.3491 0.2371
O 0.9220 0.7898 0.5832
F 0.0045 0.9955 0.7643
F 0.0496 0.1820 0.0819
F 0.0754 0.3746 0.9306
F 0.1254 0.4246 0.5694
F 0.1820 0.0496 0.9181
F 0.2207 0.7793 0.4301
F 0.2793 0.7207 0.9301
F 0.3180 0.4504 0.4181
F 0.3746 0.0754 0.0694
F 0.4246 0.1254 0.4306
F 0.4504 0.3180 0.5819
F 0.4955 0.5045 0.2643
F 0.5045 0.4955 0.7357
F 0.5496 0.6820 0.4181
F 0.5754 0.8746 0.5694
F 0.6254 0.9246 0.9306
F 0.6820 0.5496 0.5819
F 0.7207 0.2793 0.0699
F 0.7793 0.2207 0.5699
F 0.8180 0.9504 0.0819
F 0.8746 0.5754 0.4306
F 0.9246 0.6254 0.0694
F 0.9504 0.8180 0.9181
F 0.9955 0.0045 0.2357

=====

> Number 2 is which compound?

Rb2Zr3OF12

=====

> What is the density in the third record?

4.8 g cm⁻³

=====

> The lowest formation energy (no corrections) belongs to which entry?

Rb2Zr3OF12